Ca3PtC (GGA-PBE, relaxed); E_tot = -0.318 Ry per atom; energy above the lowest structure with this stoichiometry = 0 meV/atom; space-group type = Pm-3m, No. 221
1.0
-3.515 3.271 -1.073
-1.331 -2.705 -3.888
-3.175 -2.487 2.818
Ca C Pt
3 1 1
direct
0.000 0.500 0.000
0.000 0.000 0.500
0.500 0.000 0.000
0.000 0.000 0.000
0.500 0.500 0.500

***

Hg2PHRu (GGA-PBE, relaxed); E_tot = -0.224 Ry per atom; space-group type = P4/mmm, No. 123
1.0
4.727 0.000 0.000
0.000 3.509 0.000
0.000 0.000 4.727
Ru Hg H P
1 2 1 1
direct
0.000 0.500 0.000
0.000 0.000 0.500
0.500 0.000 0.000
0.000 0.000 0.000
0.500 0.500 0.500

***

La2Ni3Sn (GGA-PBE, relaxed); E_tot = -0.413 Ry per atom; energy above the lowest structure with this stoichiometry = 0 meV/atom; space-group type = P6_3/mmc, No. 194
1.0
4.294 0.000 0.000
-2.147 3.718 0.000
0.000 0.000 16.561
La Ni Sn
4 6 2
direct
0.000 0.000 0.613
0.000 0.000 0.387
0.000 0.000 0.113
0.000 0.000 0.887
0.667 0.333 0.250
0.333 0.667 0.750
0.667 0.333 0.501
0.333 0.667 0.499
0.333 0.667 0.001
0.667 0.333 0.999
0.667 0.333 0.750
0.333 0.667 0.250

***

Ti5InHg2 (GGA-PBE, relaxed); E_tot = -0.398 Ry per atom; space-group type = I4/mmm, No. 139
1.0
4.024 0.000 -1.106
-0.304 4.013 -1.106
0.296 0.319 8.950
Ti In Hg
5 1 2
direct
0.500 0.500 0.000
0.877 0.377 0.755
0.377 0.877 0.755
0.123 0.623 0.245
0.623 0.123 0.245
0.000 0.000 0.000
0.750 0.750 0.501
0.250 0.250 0.499

***

AcEuCuNi (GGA-PBE, relaxed); E_tot = -0.452 Ry per atom; space-group type = F-43m, No. 216
1.0
5.167 0.000 0.000
2.583 4.474 0.000
2.583 1.491 4.218
Eu Ni Ac Cu
1 1 1 1
direct
0.000 0.000 0.000
0.750 0.750 0.750
0.500 0.500 0.500
0.250 0.250 0.250

***

Tb4Ga6Ru7 (GGA-PBE, relaxed); E_tot = -0.470 Ry per atom; space-group type = Im-3m, No. 229
1.0
1.010 -1.904 -6.959
6.102 -1.265 3.774
-5.456 -3.916 2.822
Tb Ga Ru
4 6 7
direct
0.500 0.000 0.000
0.500 0.500 0.500
0.000 0.500 0.000
0.000 0.000 0.500
0.690 0.000 0.690
0.690 0.690 0.000
0.000 0.310 0.310
0.310 0.000 0.310
0.310 0.310 0.000
0.000 0.690 0.690
0.750 0.500 0.250
0.250 0.750 0.500
0.500 0.750 0.250
0.750 0.250 0.500
0.250 0.500 0.750
0.500 0.250 0.750
0.000 0.000 0.000

***

LiTmLu2 (GGA-PBE, relaxed); E_tot = -0.278 Ry per atom; energy above the lowest structure with this stoichiometry = 0 meV/atom; space-group type = P4/mmm, No. 123
1.0
-2.242 1.545 2.235
-0.150 -2.964 1.898
6.664 2.733 4.793
Lu Tm Li
2 1 1
direct
0.000 0.000 0.776
0.000 0.000 0.224
0.500 0.500 0.500
0.500 0.500 0.000

***

Ac3MgGe6Au2 (GGA-PBE, relaxed); E_tot = -0.327 Ry per atom; space-group type = P-3m1, No. 164
1.0
-3.604 -3.175 4.112
0.984 -2.328 -5.796
7.130 -4.293 2.935
Ac Mg Ge Au
3 1 6 2
direct
0.333 0.667 0.647
0.667 0.333 0.353
0.000 0.000 0.000
0.000 0.000 0.500
0.603 0.802 0.292
0.198 0.397 0.292
0.198 0.802 0.292
0.802 0.603 0.708
0.397 0.198 0.708
0.802 0.198 0.708
0.667 0.333 0.987
0.333 0.667 0.013

***

ScCrHg (GGA-PBE, relaxed); E_tot = -0.369 Ry per atom; energy above the lowest structure with this stoichiometry = 294 meV/atom; space-group type = F-43m, No. 216
1.0
-3.932 0.507 2.401
-3.045 -3.487 0.223
-0.600 -2.303 3.978
Cr Hg Sc
1 1 1
direct
0.500 0.500 0.500
0.750 0.750 0.750
0.000 0.000 0.000

***

U3Se3S2 (GGA-PBE, relaxed); formation energy (no corrections) = -1.23 eV/atom; E_tot = -0.573 Ry per atom; energy above the lowest structure with this stoichiometry = 0 meV/atom; space-group type = P6_3/mcm, No. 193
1.0
-5.088 -3.192 1.274
1.732 -5.166 -6.026
2.775 -1.431 7.500
U Se S
6 6 4
direct
0.750 0.600 0.000
0.750 0.400 0.400
0.750 0.000 0.600
0.250 0.400 0.000
0.250 0.600 0.600
0.250 0.000 0.400
0.750 0.247 0.000
0.750 0.753 0.753
0.750 0.000 0.247
0.250 0.753 0.000
0.250 0.247 0.247
0.250 0.000 0.753
0.000 0.333 0.667
0.500 0.667 0.333
0.000 0.667 0.333
0.500 0.333 0.667

***

MgNbAs2 (GGA-PBE, relaxed); E_tot = -0.416 Ry per atom; space-group type = Cm, No. 8
1.0
3.625 -0.001 0.002
1.812 3.140 0.002
1.817 1.049 6.942
Mg Nb As
1 1 2
direct
0.500 0.500 0.499
0.666 0.666 0.001
0.079 0.079 0.765
0.255 0.255 0.235

***

For reference, density of states at the Fermi level by record: 1.29, 4.07, 12.12, 10.76, 6.43, 24.15, 4.29, 5.70, 3.34, 27.32, 1.94 states/eV per cell.